[1]
The following is a DFT calculation (PBEsol) of a relaxed TcRuW2 crystal.

POSCAR file:
```
TcRuW2
1.0
-1.547 2.221 4.306
1.547 -2.221 4.306
1.547 2.221 -4.306
Tc Ru W
1 1 2
Direct
0.000 0.000 0.000
0.500 0.500 0.000
0.242 0.742 0.500
0.758 0.258 0.500
```

## Properties
D(E_F), states/eV/atom: 0.97
Offset from the most stable computed form, meV per atom: 48
ρ, kg/m3: 15907
Calculated formation energy, eV/atom: 0.196

[2]
The following is a DFT calculation (PBEsol) of a relaxed TcRu2W crystal.

POSCAR file:
```
TcRu2W
1.0
2.721 0.000 0.000
0.000 3.802 0.000
0.000 0.000 5.443
Tc Ru W
1 2 1
Direct
0.000 0.000 0.000
0.500 0.500 0.243
0.500 0.500 0.757
0.000 0.000 0.500
```

## Properties
D(E_F), states/eV/atom: 0.91
Offset from the most stable computed form, meV per atom: 19
ρ, kg/m3: 14272
Calculated formation energy, eV/atom: 0.038